VASP calculation (PBE with a Hubbard U) on a relaxed structure of Co2As2O5.

Cell: 3.9595 3.9595 6.3632 Å, 90.00 90.00 90.00°
Closest atoms and distances in Å follow each position.
Fractional coordinates of all 9 atoms:
Co: 0.0000 0.0000 0.0000  8 O 2.41
Co: 0.0000 0.0000 0.5000  12 O 2.68-2.80
As: 0.5000 0.5000 0.2154  5 O 1.81-1.98
As: 0.5000 0.5000 0.7846  5 O 1.81-1.98
O: 0.0000 0.5000 0.2169  2 As 1.98
O: 0.0000 0.5000 0.7831  2 As 1.98
O: 0.5000 0.0000 0.2169  2 As 1.98
O: 0.5000 0.0000 0.7831  2 As 1.98
O: 0.5000 0.5000 0.5000  2 As 1.81

Properties
Spin magnetization ... 5.53 Bohr magnetons per cell
Energy relative to the lowest polymorph listed for this composition ... 0 meV per atom

---

VASP calculation (PBE with a Hubbard U) on a relaxed structure of CoAsO3.

Cell: 5.1756 5.1756 5.1756 Å, 121.11 121.11 88.09°
Closest atoms and distances in Å follow each position.
Fractional coordinates of all 10 atoms:
Co: 0.0000 0.0000 0.0000  6 O 1.86-1.89
Co: 0.5000 0.5000 0.0000  6 O 1.86-1.89
As: 0.2500 0.7500 0.5000  4 O 2.23
As: 0.7500 0.2500 0.5000  4 O 2.23
O: 0.1705 0.6705 0.8410  2 Co 1.89
O: 0.2500 0.2500 0.0000  2 Co 1.86
O: 0.3295 0.1705 0.5000  2 Co 1.89
O: 0.6705 0.8295 0.5000  2 Co 1.89
O: 0.7500 0.7500 0.0000  2 Co 1.86
O: 0.8295 0.3295 0.1590  2 Co 1.89

Properties
Total energy ... -5.4899 eV per atom
Spin magnetization ... 0.00 Bohr magnetons per cell

---

VASP calculation (PBE with a Hubbard U) on a relaxed structure of CoAs2O.

Cell: 3.5669 3.5669 9.1431 Å, 90.00 90.00 90.00°
Closest atoms and distances in Å follow each position.
Fractional coordinates of all 8 atoms:
Co: 0.2500 0.7500 0.0000  4 As 2.48, 4 Co 2.52
Co: 0.7500 0.2500 0.0000  4 As 2.48, 4 Co 2.52
As: 0.2500 0.2500 0.1879  4 Co 2.48
As: 0.2500 0.2500 0.6259  4 O 2.12
As: 0.7500 0.7500 0.3741  4 O 2.12
As: 0.7500 0.7500 0.8121  4 Co 2.48
O: 0.2500 0.7500 0.5000  4 As 2.12
O: 0.7500 0.2500 0.5000  4 As 2.12

Properties
Total energy ... -4.8691 eV per atom
Spin magnetization ... 4.22 Bohr magnetons per cell

---

VASP calculation (PBE with a Hubbard U) on a relaxed structure of CoAsOsO.

Cell: 3.5457 5.9063 5.5499 Å, 90.00 90.00 90.00°
Closest atoms and distances in Å follow each position.
Fractional coordinates of all 8 atoms:
Co: 0.0000 0.1265 0.0000  2 O 1.98
Co: 0.0000 0.8735 0.5000  2 O 1.98
As: 0.0000 0.2704 0.4213  2 Co 2.38-2.49, 2 Os 2.42
As: 0.0000 0.7296 0.9213  2 Co 2.38-2.49, 2 Os 2.42
Os: 0.5000 0.4748 0.6216  2 O 2.08-2.09
Os: 0.5000 0.5252 0.1216  2 O 2.08-2.09
O: 0.5000 0.2402 0.8999  2 Co 1.98, 2 Os 2.08-2.09
O: 0.5000 0.7598 0.3999  2 Co 1.98, 2 Os 2.08-2.09

Properties
Spin magnetization ... 4.16 Bohr magnetons per cell
Energy relative to the lowest polymorph listed for this composition ... 281 meV per atom

---

VASP calculation (PBE with a Hubbard U) on a relaxed structure of CoAsOsO.

Cell: 3.9518 5.2476 5.5291 Å, 90.00 90.00 90.00°
Closest atoms and distances in Å follow each position.
Fractional coordinates of all 8 atoms:
Co: 0.0000 0.1543 0.0000  2 O 1.98-2.00
Co: 0.0000 0.8457 0.5000  2 O 1.98-2.00
As: 0.5000 0.3318 0.8202  2 Co 2.40, 2 Os 2.41-2.49
As: 0.5000 0.6682 0.3202  2 Co 2.40, 2 Os 2.41-2.49
Os: 0.5000 0.2016 0.4018  2 O 1.99
Os: 0.5000 0.7984 0.9018  2 O 1.99
O: 0.0000 0.1926 0.3600  2 Co 1.98-2.00, 2 Os 1.99
O: 0.0000 0.8074 0.8600  2 Co 1.98-2.00, 2 Os 1.99

Properties
Spin magnetization ... 2.65 Bohr magnetons per cell
Energy relative to the lowest polymorph listed for this composition ... 367 meV per atom

---

VASP calculation (PBE with a Hubbard U) on a relaxed structure of CoAsOsO.

Cell: 3.8831 3.8831 8.9386 Å, 90.00 90.00 90.00°
Closest atoms and distances in Å follow each position.
Fractional coordinates of all 8 atoms:
Co: 0.2500 0.2500 0.0461  4 O 1.98
Co: 0.7500 0.7500 0.9539  4 O 1.98
As: 0.2500 0.2500 0.6770  4 Os 2.50
As: 0.7500 0.7500 0.3230  4 Os 2.50
Os: 0.2500 0.7500 0.5000  4 As 2.50, 4 Os 2.75
Os: 0.7500 0.2500 0.5000  4 As 2.50, 4 Os 2.75
O: 0.2500 0.7500 0.0000  4 Co 1.98
O: 0.7500 0.2500 0.0000  4 Co 1.98

Properties
Spin magnetization ... 5.94 Bohr magnetons per cell
Energy relative to the lowest polymorph listed for this composition ... 173 meV per atom